*w*
A plane-wave DFT calculation with GGA-PBE was carried out for an optimized crystal structure of Rb3CuCl4.

Unit cell a=12.670 b=10.279 c=4.703 alpha=90.00 beta=90.00 gamma=90.00
Positions (direct):
Rb  0.000  0.114  0.000
Rb  0.165  0.671  0.426
Rb  0.335  0.329  0.926
Rb  0.500  0.886  0.500
Rb  0.665  0.329  0.926
Rb  0.835  0.671  0.426
Cu  0.000  0.389  0.585
Cu  0.500  0.611  0.085
Cl  0.000  0.552  0.905
Cl  0.000  0.904  0.492
Cl  0.153  0.299  0.440
Cl  0.347  0.701  0.940
Cl  0.500  0.096  0.992
Cl  0.500  0.448  0.405
Cl  0.653  0.701  0.940
Cl  0.847  0.299  0.440


*x*
A plane-wave DFT calculation with GGA-PBE was carried out for an optimized crystal structure of Rb3CuCl4.

Unit cell a=10.648 b=8.406 c=6.669 alpha=90.00 beta=90.00 gamma=90.00
Positions (direct):
Rb  0.000  0.099  0.000
Rb  0.224  0.336  0.504
Rb  0.276  0.664  0.004
Rb  0.500  0.901  0.500
Rb  0.724  0.664  0.004
Rb  0.776  0.336  0.504
Cu  0.000  0.801  0.439
Cu  0.500  0.199  0.939
Cl  0.000  0.085  0.502
Cl  0.000  0.732  0.093
Cl  0.209  0.721  0.526
Cl  0.291  0.279  0.026
Cl  0.500  0.268  0.593
Cl  0.500  0.915  0.002
Cl  0.709  0.279  0.026
Cl  0.791  0.721  0.526


Least stable: *x*